Compound: ScMnTl2O6
Source: Alexandria
Functional: PBE+U
Structure: relaxed

Cell lengths 5.4378, 5.5680, 5.6733 Å; angles 62.18, 89.87, 62.07 degrees
With the nearest neighbours (Å) after each atom.
Space group P1 (No. 1)
Inequivalent atoms, fractional coordinates:
Sc  0.0000  0.0000  0.0000 (multiplicity 1)  6 O 2.07-2.24
Mn  0.5088  0.9938  0.5110 (multiplicity 1)  4 O 1.95-2.01
Tl  0.2339  0.5451  0.6682 (multiplicity 1)  5 O 2.17-2.42
Tl  0.7262  0.5420  0.1806 (multiplicity 1)  4 O 2.19-2.41
O  0.1320  0.5078  0.2870 (multiplicity 1)  1 Sc 2.16, 2 Tl 2.19-2.36, 1 Mn 2.26
O  0.2970  0.8497  0.7822 (multiplicity 1)  1 Mn 2.01, 1 Sc 2.13, 1 Tl 2.23
O  0.3824  0.8506  0.3014 (multiplicity 1)  1 Mn 1.98
O  0.6406  0.0901  0.7636 (multiplicity 1)  1 Mn 1.98, 1 Sc 2.08
O  0.7571  0.0907  0.2833 (multiplicity 1)  1 Mn 1.95, 1 Sc 2.17
O  0.8906  0.4712  0.8098 (multiplicity 1)  1 Sc 2.07, 1 Tl 2.17

## Properties
Total moment = 4.00 μB/f.u.
Total DFT energy (no corrections) = -63.87 eV per cell
Calculated density = 7.78 g/cm3